DFT (PBE) results for a relaxed Ho2P6Pd21 crystal.

```
Ho2P6Pd21
1.0
-6.478 -4.577 -3.362
1.589 -7.570 -3.793
-2.515 -7.323 3.777
Ho P Pd
2 6 21
Direct
0.750 0.750 0.750
0.250 0.250 0.250
0.261 0.739 0.261
0.739 0.261 0.261
0.739 0.739 0.261
0.739 0.261 0.739
0.261 0.739 0.739
0.261 0.261 0.739
0.000 0.000 0.000
0.615 0.615 0.154
0.615 0.615 0.615
0.615 0.154 0.615
0.154 0.615 0.615
0.385 0.385 0.846
0.385 0.385 0.385
0.385 0.846 0.385
0.846 0.385 0.385
0.655 0.000 0.345
0.000 0.655 0.345
0.000 0.000 0.345
0.000 0.655 0.000
0.655 0.000 0.000
0.000 0.000 0.655
0.000 0.345 0.000
0.000 0.345 0.655
0.655 0.345 0.000
0.345 0.000 0.655
0.345 0.000 0.000
0.345 0.655 0.000
```

ΔH_f (0 K)   -18.63 eV per formula unit
ρ   10.1 g cm⁻³
VASP energy   -169.3 eV for the cell shown